1.
Density functional theory data (GGA-PBE) for crystalline Mn5FeRu at its relaxed geometry.

```
data_Mn5FeRu
_chemical_formula_sum 'Mn10 Fe2 Ru2'
_cell_length_a 4.5170
_cell_length_b 4.7434
_cell_length_c 8.0189
_cell_angle_alpha 90.00
_cell_angle_beta 90.00
_cell_angle_gamma 90.00
_space_group_name_H-M_alt 'P 1'
_space_group_IT_number 1
_space_group_name_Hall 'P 1'
loop_
_atom_site_label
_atom_site_fract_x
_atom_site_fract_y
_atom_site_fract_z
Mn1 0.0000 0.0000 0.0000
Mn2 0.0000 0.2600 0.4462
Mn3 0.0000 0.7400 0.4462
Mn4 0.2368 0.5000 0.7320
Mn5 0.2632 0.0000 0.2320
Mn6 0.5000 0.2400 0.9462
Mn7 0.5000 0.5000 0.5000
Mn8 0.5000 0.7600 0.9462
Mn9 0.7368 0.0000 0.2320
Mn10 0.7632 0.5000 0.7320
Fe1 0.0000 0.5000 0.0815
Fe2 0.5000 0.0000 0.5815
Ru1 0.0000 0.0000 0.7215
Ru2 0.5000 0.5000 0.2215
```

Output
ρ in Mg/m³: 8.34
Energy of formation in eV per atom: 0.346

2.
Density functional theory data (GGA-PBE) for crystalline ZrAlCu2 at its relaxed geometry.

```
data_ZrAlCu2
_chemical_formula_sum 'Zr1 Al1 Cu2'
_cell_length_a 3.7175
_cell_length_b 3.7175
_cell_length_c 6.0104
_cell_angle_alpha 90.00
_cell_angle_beta 90.00
_cell_angle_gamma 120.00
_space_group_name_H-M_alt 'P 1'
_space_group_IT_number 1
_space_group_name_Hall 'P 1'
loop_
_atom_site_label
_atom_site_fract_x
_atom_site_fract_y
_atom_site_fract_z
Zr1 0.0000 0.0000 0.0000
Al1 0.0000 0.0000 0.5000
Cu1 0.3333 0.6667 0.2942
Cu2 0.6667 0.3333 0.7058
```

Output
ρ in Mg/m³: 5.66
Energy of formation in eV per atom: 0.177

3.
Density functional theory data (GGA-PBE) for crystalline Tb2Nd3Ho6Pu at its relaxed geometry.

```
data_Tb2Nd3Ho6Pu
_chemical_formula_sum 'Tb2 Nd3 Ho6 Pu1'
_cell_length_a 6.1735
_cell_length_b 6.1735
_cell_length_c 11.7126
_cell_angle_alpha 95.04
_cell_angle_beta 95.04
_cell_angle_gamma 120.02
_space_group_name_H-M_alt 'P 1'
_space_group_IT_number 1
_space_group_name_Hall 'P 1'
loop_
_atom_site_label
_atom_site_fract_x
_atom_site_fract_y
_atom_site_fract_z
Tb1 0.1666 0.8334 0.0000
Tb2 0.8334 0.1666 0.0000
Nd1 0.0000 0.0000 0.5000
Nd2 0.3329 0.6671 0.5000
Nd3 0.6671 0.3329 0.5000
Ho1 0.0895 0.4184 0.7551
Ho2 0.2525 0.2525 0.2450
Ho3 0.4184 0.0895 0.7551
Ho4 0.5816 0.9105 0.2449
Ho5 0.7475 0.7475 0.7550
Ho6 0.9105 0.5816 0.2449
Pu1 0.5000 0.5000 0.0000
```

Output
ρ in Mg/m³: 8.66
Energy of formation in eV per atom: 0.042

In the order shown, the computed M_tot values come out to 0.67, 0.00, 6.51 μB/cell.